Computed, not measured: crystalline YTlSn2Se at its relaxed geometry at the GGA-PBE level of DFT.

Lattice parameters (Å, degrees): 5.5028 5.5028 5.4180 90.00 90.00 90.00
Closest atoms and distances in Å follow each position.
Fractional coordinates of all 5 atoms:
Y  0.0000  0.0000  0.0000  8 Sn 3.86, 4 Tl 3.89
Tl  0.5000  0.5000  0.0000  2 Se 2.71
Sn  0.0000  0.5000  0.5000  2 Se 2.75
Sn  0.5000  0.0000  0.5000  2 Se 2.75
Se  0.5000  0.5000  0.5000  2 Tl 2.71, 4 Sn 2.75

Output
* DFT total energy: -3.843 eV per atom
* space group: No. 123
* size of the total moment: 0.000 μB/f.u.


Computed, not measured: crystalline Dy7Cd2Sn2 at its relaxed geometry at the GGA-PBE level of DFT.

Lattice parameters (Å, degrees): 6.7929 6.7929 7.8864 90.00 90.00 110.78
Closest atoms and distances in Å follow each position.
Fractional coordinates of all 11 atoms:
Dy  0.0000  0.0000  0.0000  2 Cd 3.17
Dy  0.0000  0.5000  0.2925  2 Cd 3.03, 1 Dy 3.27, 2 Sn 3.28
Dy  0.0000  0.5000  0.7075  2 Cd 3.03, 1 Dy 3.27, 2 Sn 3.28
Dy  0.5000  0.0000  0.2925  2 Cd 3.03, 1 Dy 3.27, 2 Sn 3.28
Dy  0.5000  0.0000  0.7075  2 Cd 3.03, 1 Dy 3.27, 2 Sn 3.28
Dy  0.5000  0.5000  0.2456  2 Cd 3.10, 2 Sn 3.14, 4 Dy 3.42
Dy  0.5000  0.5000  0.7544  2 Cd 3.10, 2 Sn 3.14, 4 Dy 3.42
Cd  0.2834  0.7166  0.0000  7 Dy 3.03-3.17
Cd  0.7166  0.2834  0.0000  7 Dy 3.03-3.17
Sn  0.1870  0.1870  0.5000  1 Sn 2.89, 2 Dy 3.14
Sn  0.8130  0.8130  0.5000  1 Sn 2.89, 2 Dy 3.14

Output
* DFT total energy: -3.881 eV per atom
* ΔE_f: -58 meV per atom
* space group: No. 65
* size of the total moment: 0.000 μB/f.u.


Computed, not measured: crystalline RbCeSe at its relaxed geometry at the GGA-PBE level of DFT.

Lattice parameters (Å, degrees): 5.1198 5.1198 8.1070 90.00 90.00 90.00
Closest atoms and distances in Å follow each position.
Fractional coordinates of all 6 atoms:
Rb  0.2500  0.7500  0.0000  4 Se 3.47, 4 Rb 3.62
Rb  0.7500  0.2500  0.0000  4 Se 3.47, 4 Rb 3.62
Ce  0.2500  0.7500  0.5000  4 Se 3.08
Ce  0.7500  0.2500  0.5000  4 Se 3.08
Se  0.2500  0.2500  0.2897  4 Ce 3.08
Se  0.7500  0.7500  0.7103  4 Ce 3.08

Output
* DFT total energy: -4.257 eV per atom
* space group: No. 129
* size of the total moment: 2.105 μB/f.u.


Computed, not measured: crystalline MgCd2P at its relaxed geometry at the GGA-PBE level of DFT.

Lattice parameters (Å, degrees): 3.1497 3.1497 8.5002 90.00 90.00 97.30
Closest atoms and distances in Å follow each position.
Fractional coordinates of all 4 atoms:
Mg  0.0000  0.0000  0.0000  8 Cd 3.06-3.26, 4 Mg 3.15
Cd  0.5000  0.5000  0.2640  4 P 2.89-3.10, 2 Mg 3.06, 4 Cd 3.15
Cd  0.5000  0.5000  0.7360  4 P 2.89-3.10, 2 Mg 3.06, 4 Cd 3.15
P  0.0000  0.0000  0.5000  8 Cd 2.89-3.10, 4 P 3.15

Output
* DFT total energy: -2.011 eV per atom
* ΔE_f: 198 meV per atom
* space group: No. 65
* size of the total moment: 0.000 μB/f.u.


Computed, not measured: crystalline RbGeS2N at its relaxed geometry at the GGA-PBE level of DFT.

Lattice parameters (Å, degrees): 5.0587 5.0587 4.0010 90.00 90.00 90.00
Closest atoms and distances in Å follow each position.
Fractional coordinates of all 5 atoms:
Rb  0.0000  0.0000  0.0000  8 S 3.22, 4 N 3.58
Ge  0.5000  0.5000  0.5000  2 N 2.00
S  0.0000  0.5000  0.5000  2 Ge 2.53
S  0.5000  0.0000  0.5000  2 Ge 2.53
N  0.5000  0.5000  0.0000  2 Ge 2.00

Output
* DFT total energy: -4.086 eV per atom
* ΔE to the lowest computed polymorph: 0 meV/atom
* space group: No. 123
* size of the total moment: 2.084 μB/f.u.


Computed, not measured: crystalline Tb2Sc2Te7 at its relaxed geometry at the GGA-PBE level of DFT.

Lattice parameters (Å, degrees): 9.4131 9.4131 9.4131 154.58 68.02 118.11
Closest atoms and distances in Å follow each position.
Fractional coordinates of all 11 atoms:
Tb  0.2402  0.0000  0.2402  7 Te 3.06-3.21
Tb  0.7598  0.0000  0.7598  7 Te 3.06-3.21
Sc  0.2237  0.2237  0.0000  7 Te 2.99-3.16
Sc  0.6752  0.1752  0.5000  8 Te 2.93-3.14
Te  0.0543  0.6914  0.3629  2 Sc 2.99, 2 Tb 3.21
Te  0.3285  0.6914  0.6371  2 Sc 2.99, 2 Tb 3.21
Te  0.3954  0.5015  0.8939  3 Sc 3.14-3.16, 2 Tb 3.17, 1 Te 3.31
Te  0.6076  0.5015  0.1061  3 Sc 3.14-3.16, 2 Tb 3.17, 1 Te 3.31
Te  0.6222  0.2949  0.3273  1 Sc 2.93, 3 Tb 3.06-3.16
Te  0.9066  0.9066  0.0000  3 Sc 3.05-3.07
Te  0.9676  0.2949  0.6727  1 Sc 2.93, 3 Tb 3.06-3.16

Output
* DFT total energy: -5.087 eV per atom
* space group: No. 44
* size of the total moment: 0.000 μB/f.u.


Computed, not measured: crystalline AcTmPb3 at its relaxed geometry at the GGA-PBE level of DFT.

Lattice parameters (Å, degrees): 4.8928 4.8149 13.7391 90.00 100.27 90.00
Closest atoms and distances in Å follow each position.
Fractional coordinates of all 10 atoms:
Ac  0.0673  0.2500  0.1360  10 Pb 3.52-3.80
Ac  0.9327  0.7500  0.8640  10 Pb 3.52-3.80
Tm  0.2448  0.2500  0.4903  8 Pb 3.23-3.44, 4 Tm 3.44
Tm  0.7552  0.7500  0.5097  8 Pb 3.23-3.44, 4 Tm 3.44
Pb  0.1654  0.7500  0.3306  4 Tm 3.23-3.44, 4 Pb 3.43, 2 Ac 3.57
Pb  0.3356  0.7500  0.6706  4 Tm 3.27-3.43, 4 Pb 3.43, 2 Ac 3.58
Pb  0.4608  0.2500  0.9210  2 Pb 3.22, 4 Ac 3.52
Pb  0.5392  0.7500  0.0790  2 Pb 3.22, 4 Ac 3.52
Pb  0.6644  0.2500  0.3294  4 Tm 3.27-3.43, 4 Pb 3.43, 2 Ac 3.58
Pb  0.8346  0.2500  0.6694  4 Tm 3.23-3.44, 4 Pb 3.43, 2 Ac 3.57

Output
* DFT total energy: -4.394 eV per atom
* ΔE_f: -453 meV per atom
* space group: No. 11
* size of the total moment: 0.251 μB/f.u.


Computed, not measured: crystalline SmCdAu4 at its relaxed geometry at the GGA-PBE level of DFT.

Lattice parameters (Å, degrees): 5.6139 5.6139 5.6139 60.00 60.00 60.00
Closest atoms and distances in Å follow each position.
Fractional coordinates of all 6 atoms:
Sm  0.0000  0.0000  0.0000  12 Au 3.29, 4 Cd 3.44
Cd  0.2500  0.2500  0.2500  12 Au 3.29, 4 Sm 3.44
Au  0.1260  0.6247  0.6247  6 Au 2.80-2.81
Au  0.6247  0.1260  0.6247  6 Au 2.80-2.81
Au  0.6247  0.6247  0.1260  6 Au 2.80-2.81
Au  0.6247  0.6247  0.6247  6 Au 2.80-2.81

Output
* DFT total energy: -3.571 eV per atom
* ΔE_f: -447 meV per atom
* ΔE to the lowest computed polymorph: 28 meV/atom
* space group: No. 216
* size of the total moment: 0.000 μB/f.u.


Computed, not measured: crystalline ZnNi2 at its relaxed geometry at the GGA-PBE level of DFT.

Lattice parameters (Å, degrees): 4.8537 4.8537 6.1168 106.52 106.52 30.62
Closest atoms and distances in Å follow each position.
Fractional coordinates of all 6 atoms:
Zn  0.1879  0.1879  0.1469  8 Ni 2.52-2.54, 4 Zn 2.56-2.73
Zn  0.8121  0.8121  0.8531  8 Ni 2.52-2.54, 4 Zn 2.56-2.73
Ni  0.1372  0.1372  0.5287  9 Ni 2.49-2.58, 3 Zn 2.52
Ni  0.4676  0.4676  0.1980  7 Ni 2.52-2.67, 5 Zn 2.53-2.54
Ni  0.5324  0.5324  0.8020  7 Ni 2.52-2.67, 5 Zn 2.53-2.54
Ni  0.8628  0.8628  0.4713  9 Ni 2.49-2.58, 3 Zn 2.52

Output
* DFT total energy: -4.391 eV per atom
* ΔE_f: -112 meV per atom
* space group: No. 12
* size of the total moment: 0.054 μB/f.u.


Computed, not measured: crystalline GePt4Au at its relaxed geometry at the GGA-PBE level of DFT.

Lattice parameters (Å, degrees): 7.1694 7.1694 7.0011 100.65 100.65 36.47
Closest atoms and distances in Å follow each position.
Fractional coordinates of all 12 atoms:
Ge  0.0000  0.5000  0.0000  6 Pt 2.40-2.56
Ge  0.5000  0.0000  0.5000  6 Pt 2.40-2.56
Pt  0.0877  0.5411  0.3640  3 Ge 2.53-2.74, 2 Pt 2.77-2.83
Pt  0.1035  0.7524  0.0710  1 Ge 2.40, 2 Au 2.64-2.68
Pt  0.2476  0.8965  0.4290  1 Ge 2.40, 2 Au 2.64-2.68
Pt  0.4589  0.9123  0.1360  3 Ge 2.53-2.74, 2 Pt 2.77-2.83
Pt  0.5411  0.0877  0.8640  3 Ge 2.53-2.74, 2 Pt 2.77-2.83
Pt  0.7524  0.1035  0.5710  1 Ge 2.40, 2 Au 2.64-2.68
Pt  0.8965  0.2476  0.9290  1 Ge 2.40, 2 Au 2.64-2.68
Pt  0.9123  0.4589  0.6360  3 Ge 2.53-2.74, 2 Pt 2.77-2.83
Au  0.3296  0.6704  0.7500  6 Pt 2.64-2.71
Au  0.6704  0.3296  0.2500  6 Pt 2.64-2.71

Output
* DFT total energy: -5.391 eV per atom
* ΔE_f: -48 meV per atom
* space group: No. 15
* size of the total moment: 0.000 μB/f.u.


Computed, not measured: crystalline Sm2ErZrP4 at its relaxed geometry at the GGA-PBE level of DFT.

Lattice parameters (Å, degrees): 6.8710 3.9648 6.8852 90.00 109.27 90.00
Closest atoms and distances in Å follow each position.
Fractional coordinates of all 8 atoms:
Sm  0.0000  0.0000  0.0000  6 P 2.90
Sm  0.5000  0.5000  0.0000  6 P 2.84
Er  0.0000  0.5000  0.5000  6 P 2.77-2.78
Zr  0.5000  0.0000  0.5000  6 P 2.71-2.73
P  0.2523  0.0000  0.7359  1 Zr 2.71, 2 Er 2.78, 3 Sm 2.84-2.90
P  0.2621  0.5000  0.2678  2 Zr 2.73, 1 Er 2.77, 3 Sm 2.84-2.90
P  0.7379  0.5000  0.7322  2 Zr 2.73, 1 Er 2.77, 3 Sm 2.84-2.90
P  0.7477  0.0000  0.2641  1 Zr 2.71, 2 Er 2.78, 3 Sm 2.84-2.90

Output
* DFT total energy: -7.052 eV per atom
* ΔE_f: -1529 meV per atom
* space group: No. 10
* size of the total moment: 0.000 μB/f.u.


Computed, not measured: crystalline TiSbRuRh at its relaxed geometry at the GGA-PBE level of DFT.

Lattice parameters (Å, degrees): 4.4888 4.4888 4.4888 60.00 60.00 60.00
Closest atoms and distances in Å follow each position.
Fractional coordinates of all 4 atoms:
Ti  0.0000  0.0000  0.0000  4 Ru 2.75, 4 Rh 2.75
Sb  0.5000  0.5000  0.5000  4 Ru 2.75, 4 Rh 2.75
Ru  0.7500  0.7500  0.7500  4 Sb 2.75, 4 Ti 2.75
Rh  0.2500  0.2500  0.2500  4 Sb 2.75, 4 Ti 2.75

Output
* DFT total energy: -7.595 eV per atom
* ΔE to the lowest computed polymorph: 121 meV/atom
* space group: No. 216
* size of the total moment: 1.224 μB/f.u.


What did the tenth record say?
Computed, not measured: crystalline GePt4Au at its relaxed geometry at the GGA-PBE level of DFT.

Lattice parameters (Å, degrees): 7.1694 7.1694 7.0011 100.65 100.65 36.47
Closest atoms and distances in Å follow each position.
Fractional coordinates of all 12 atoms:
Ge  0.0000  0.5000  0.0000  6 Pt 2.40-2.56
Ge  0.5000  0.0000  0.5000  6 Pt 2.40-2.56
Pt  0.0877  0.5411  0.3640  3 Ge 2.53-2.74, 2 Pt 2.77-2.83
Pt  0.1035  0.7524  0.0710  1 Ge 2.40, 2 Au 2.64-2.68
Pt  0.2476  0.8965  0.4290  1 Ge 2.40, 2 Au 2.64-2.68
Pt  0.4589  0.9123  0.1360  3 Ge 2.53-2.74, 2 Pt 2.77-2.83
Pt  0.5411  0.0877  0.8640  3 Ge 2.53-2.74, 2 Pt 2.77-2.83
Pt  0.7524  0.1035  0.5710  1 Ge 2.40, 2 Au 2.64-2.68
Pt  0.8965  0.2476  0.9290  1 Ge 2.40, 2 Au 2.64-2.68
Pt  0.9123  0.4589  0.6360  3 Ge 2.53-2.74, 2 Pt 2.77-2.83
Au  0.3296  0.6704  0.7500  6 Pt 2.64-2.71
Au  0.6704  0.3296  0.2500  6 Pt 2.64-2.71

Output
* DFT total energy: -5.391 eV per atom
* ΔE_f: -48 meV per atom
* space group: No. 15
* size of the total moment: 0.000 μB/f.u.


size of the total moment of number 10 (GePt4Au)? 0.000 μB/f.u.